--- P ---
First-principles (PBE) data for crystalline Pm2Cd3Ga at its relaxed geometry, as listed in the Alexandria database.

Lattice parameters (Å, degrees): 3.6288 4.8897 8.4362 90.00 90.00 90.00
Positions (direct):
Pm (0.0000, 0.5000, 0.0131)
Pm (0.0000, 0.0000, 0.4887)
Cd (0.5000, 0.0000, 0.8305)
Cd (0.5000, 0.0000, 0.1683)
Cd (0.5000, 0.5000, 0.6635)
Ga (0.5000, 0.5000, 0.3358)

---

--- Q ---
First-principles (PBE) data for crystalline Pm2Cd3Ga at its relaxed geometry, as listed in the Alexandria database.

Lattice parameters (Å, degrees): 4.9312 3.7050 9.0955 101.75 105.73 90.00
Positions (direct):
Pm (0.1159, 0.1159, 0.2319)
Pm (0.8925, 0.3925, 0.7849)
Cd (0.7134, 0.7134, 0.4268)
Cd (0.5497, 0.5497, 0.0995)
Cd (0.2870, 0.7870, 0.5741)
Ga (0.4414, 0.9414, 0.8829)

---

Quick one: least stable of them? Q

---

--- P ---
First-principles (PBE) data for crystalline Pm4Cd3Ga at its relaxed geometry, as listed in the Alexandria database.

Lattice parameters (Å, degrees): 3.6744 4.8695 12.3237 90.00 90.00 90.00
Positions (direct):
Pm (0.5000, 0.5000, 0.3346)
Pm (0.0000, 0.5000, 0.8486)
Pm (0.0000, 0.0000, 0.1517)
Pm (0.5000, 0.0000, 0.6602)
Cd (0.0000, 0.5000, 0.5696)
Cd (0.0000, 0.0000, 0.4280)
Cd (0.5000, 0.0000, 0.9316)
Ga (0.5000, 0.5000, 0.0758)

---

--- Q ---
First-principles (PBE) data for crystalline Pm4Cd3Ga at its relaxed geometry, as listed in the Alexandria database.

Lattice parameters (Å, degrees): 3.7494 3.7494 15.4933 90.00 90.00 90.00
Positions (direct):
Cd (0.5000, 0.5000, 0.2445)
Cd (0.5000, 0.5000, 0.5000)
Cd (0.5000, 0.5000, 0.7555)
Ga (0.5000, 0.5000, 0.0000)
Pm (0.0000, 0.0000, 0.8864)
Pm (0.0000, 0.0000, 0.1136)
Pm (0.0000, 0.0000, 0.3714)
Pm (0.0000, 0.0000, 0.6286)

---

Quick one: least stable of them? P

---

--- P ---
First-principles (PBE) data for crystalline Pm2Cd3Ga2 at its relaxed geometry, as listed in the Alexandria database.

Lattice parameters (Å, degrees): 3.6685 4.3145 10.8962 101.42 90.00 90.00
Positions (direct):
Pm (0.0000, 0.8383, 0.6766)
Pm (0.0000, 0.1617, 0.3234)
Cd (0.5000, 0.5709, 0.1418)
Cd (0.5000, 0.4291, 0.8582)
Cd (0.0000, 0.0000, 0.0000)
Ga (0.5000, 0.7163, 0.4325)
Ga (0.5000, 0.2837, 0.5675)

---

--- Q ---
First-principles (PBE) data for crystalline Pm2Cd3Ga2 at its relaxed geometry, as listed in the Alexandria database.

Lattice parameters (Å, degrees): 4.5338 5.8973 7.1927 109.78 90.00 112.61
Positions (direct):
Pm (0.8491, 0.6982, 0.2236)
Pm (0.1509, 0.3018, 0.7764)
Cd (0.5000, 0.0000, 0.0000)
Cd (0.6072, 0.2144, 0.4313)
Cd (0.3928, 0.7856, 0.5687)
Ga (0.8488, 0.6977, 0.7774)
Ga (0.1512, 0.3023, 0.2226)

---

Quick one: least stable of them? P

---

--- P ---
First-principles (PBE) data for crystalline Pm3CdGa3 at its relaxed geometry, as listed in the Alexandria database.

Lattice parameters (Å, degrees): 4.8359 9.1726 9.1726 120.00 90.00 90.00
Positions (direct):
Pm (0.7500, 0.6676, 0.5749)
Pm (0.7500, 0.4251, 0.0927)
Pm (0.7500, 0.9073, 0.3324)
Pm (0.2500, 0.3324, 0.4251)
Pm (0.2500, 0.5749, 0.9073)
Pm (0.2500, 0.0927, 0.6676)
Cd (0.2500, 0.6667, 0.3333)
Cd (0.7500, 0.3333, 0.6667)
Ga (0.2500, 0.8409, 0.8020)
Ga (0.2500, 0.1980, 0.0389)
Ga (0.2500, 0.9611, 0.1591)
Ga (0.7500, 0.1591, 0.1980)
Ga (0.7500, 0.8020, 0.9611)
Ga (0.7500, 0.0389, 0.8409)

---

--- Q ---
First-principles (PBE) data for crystalline Pm3CdGa3 at its relaxed geometry, as listed in the Alexandria database.

Lattice parameters (Å, degrees): 4.5285 6.0896 13.9036 84.28 80.63 68.17
Positions (direct):
Pm (0.5213, 0.3313, 0.6262)
Pm (0.4787, 0.6687, 0.3738)
Pm (0.2640, 0.2524, 0.2197)
Pm (0.7360, 0.7476, 0.7803)
Pm (0.3946, 0.2874, 0.9234)
Pm (0.6054, 0.7126, 0.0766)
Cd (0.7601, 0.0777, 0.4021)
Cd (0.2399, 0.9223, 0.5979)
Ga (0.8813, 0.6872, 0.5503)
Ga (0.1187, 0.3128, 0.4497)
Ga (0.1075, 0.8584, 0.9265)
Ga (0.8925, 0.1416, 0.0735)
Ga (0.9718, 0.8299, 0.2266)
Ga (0.0282, 0.1701, 0.7734)

---

Quick one: least stable of them? P